Entry 1:
A relaxed Th2ReSe crystal, computed with PBE-GGA.

Values from the calculation:
The formation energy without anion corrections comes out at -0.63 eV/atom. As for the total magnetic moment: 0.00 μB per formula unit. For the density of states at the Fermi level, the calculation gives 0.494 states/eV/atom.

abc: 7.6114 7.6114 7.6114
angles: 31.84 31.84 31.84
With the nearest neighbours (Å) after each atom.
Positions (direct):
Th: 0.2383 0.2383 0.2383  3 Re 2.87, 3 Se 3.17
Th: 0.7617 0.7617 0.7617  3 Re 2.87, 3 Se 3.17
Re: 0.5000 0.5000 0.5000  6 Th 2.87
Se: 0.0000 0.0000 0.0000  6 Th 3.17

Entry 2:
A relaxed Mg2Fe2Mo crystal, computed with PBE-GGA.

Values from the calculation:
As for the energy above the most stable polymorph in this dataset: 0 meV/atom. As for the total magnetic moment: 1.21 μB per formula unit. For the density of states at the Fermi level, the calculation gives 0.881 states/eV/atom.

abc: 5.9932 5.9932 4.3510
angles: 90.00 90.00 90.00
With the nearest neighbours (Å) after each atom.
Positions (direct):
Mg: 0.1769 0.3231 0.0000  6 Fe 2.74-2.85, 1 Mg 3.00
Mg: 0.3231 0.8231 0.0000  6 Fe 2.74-2.85, 1 Mg 3.00
Mg: 0.6769 0.1769 0.0000  6 Fe 2.74-2.85, 1 Mg 3.00
Mg: 0.8231 0.6769 0.0000  6 Fe 2.74-2.85, 1 Mg 3.00
Fe: 0.1264 0.6264 0.5000  1 Fe 2.14, 2 Mo 2.36
Fe: 0.3736 0.1264 0.5000  1 Fe 2.14, 2 Mo 2.36
Fe: 0.6264 0.8736 0.5000  1 Fe 2.14, 2 Mo 2.36
Fe: 0.8736 0.3736 0.5000  1 Fe 2.14, 2 Mo 2.36
Mo: 0.0000 0.0000 0.5000  4 Fe 2.36
Mo: 0.5000 0.5000 0.5000  4 Fe 2.36

Entry 3:
A relaxed Cd2Sn2Sb crystal, computed with PBE-GGA.

Values from the calculation:
As for the energy above the most stable polymorph in this dataset: 16 meV/atom. The formation energy without anion corrections comes out at 0.13 eV/atom. As for the total magnetic moment: 0.00 μB per formula unit. For the density of states at the Fermi level, the calculation gives 0.452 states/eV/atom.

abc: 8.7897 8.7897 8.7897
angles: 153.04 153.04 38.50
With the nearest neighbours (Å) after each atom.
Positions (direct):
Cd: 0.2500 0.7500 0.5000  4 Cd 2.90
Cd: 0.7500 0.2500 0.5000  4 Cd 2.90
Sn: 0.0952 0.0952 0.0000  1 Sn 3.16, 4 Cd 3.29, 4 Sb 3.30
Sn: 0.9048 0.9048 0.0000  1 Sn 3.16, 4 Cd 3.29, 4 Sb 3.30
Sb: 0.5000 0.5000 0.0000  8 Sn 3.30

Entry 4:
A relaxed KTl4F5 crystal, computed with PBE-GGA.

Values from the calculation:
The formation energy without anion corrections comes out at -1.93 eV/atom. As for the total magnetic moment: 0.00 μB per formula unit. For the density of states at the Fermi level, the calculation gives 0.000 states/eV/atom.

abc: 6.9386 6.9386 6.9386
angles: 99.11 99.11 133.11
With the nearest neighbours (Å) after each atom.
Positions (direct):
K: 0.0000 0.0000 0.0000  6 F 2.66-2.76
Tl: 0.2004 0.5987 0.7991  4 F 2.60-2.84
Tl: 0.4013 0.2004 0.6018  4 F 2.60-2.84
Tl: 0.5987 0.7996 0.3982  4 F 2.60-2.84
Tl: 0.7996 0.4013 0.2009  4 F 2.60-2.84
F: 0.1212 0.2700 0.3912  3 Tl 2.60-2.78, 1 K 2.66
F: 0.2700 0.8788 0.1488  3 Tl 2.60-2.78, 1 K 2.66
F: 0.5000 0.5000 0.0000  2 K 2.76, 4 Tl 2.84
F: 0.7300 0.1212 0.8512  3 Tl 2.60-2.78, 1 K 2.66
F: 0.8788 0.7300 0.6088  3 Tl 2.60-2.78, 1 K 2.66